Entry 1:
Entry from the Alexandria database: crystalline Pm2Zn5Ag at its relaxed geometry (PBE-GGA).

Summary:
E = -2.487 eV per atom
mass density = 7.55 Mg/m³
calculated formation energy = -14 kJ per mole of atoms
D(E_F) = 6.7 states/eV per cell
energy above the most stable polymorph in this dataset = 164 meV per atom
total magnetic moment = 0.00 μB/atom

```
Pm2Zn5Ag
1.0
4.789 0.000 0.000
0.000 4.789 0.000
-2.394 -2.394 6.955
Pm Zn Ag
2 5 1
Cartesian
2.394 2.394 3.451
0.000 0.000 3.504
2.394 2.394 0.000
2.394 0.000 5.533
0.000 2.394 5.533
0.000 2.394 1.422
2.394 0.000 1.422
0.000 0.000 0.000
```



Entry 2:
Entry from the Alexandria database: crystalline TcAs2SeS at its relaxed geometry (PBE-GGA).

Summary:
E = -4.345 eV per atom
energy relative to the elements, uncorrected = 1110 meV per atom
mass density = 5.58 Mg/m³
D(E_F) = 2.6 states/eV per cell
energy above the most stable polymorph in this dataset = 547 meV per atom
total magnetic moment = 0.50 μB/atom

```
TcAs2SeS
1.0
4.773 0.000 0.000
0.000 4.773 0.000
0.000 0.000 4.688
S As Tc Se
1 2 1 1
Cartesian
0.000 0.000 0.000
0.000 2.386 0.000
2.386 0.000 0.000
2.386 2.386 2.344
0.000 0.000 2.344
```



Entry 3:
Entry from the Alexandria database: crystalline HfSbBr2 at its relaxed geometry (PBE-GGA).

Summary:
E = -4.903 eV per atom
energy relative to the elements, uncorrected = -548 meV per atom
mass density = 6.39 Mg/m³
D(E_F) = 1.6 states/eV per cell
energy above the most stable polymorph in this dataset = 0 meV per atom
total magnetic moment = 0.00 μB/atom

```
HfSbBr2
1.0
1.933 0.000 12.317
-0.966 1.674 12.317
-0.966 -1.674 12.317
Sb Hf Br
1 1 2
Cartesian
0.000 0.000 0.000
0.000 0.000 18.476
0.000 0.000 32.740
0.000 0.000 4.212
```



Entry 4:
Entry from the Alexandria database: crystalline Ag2SbCl at its relaxed geometry (PBE-GGA).

Summary:
E = -2.997 eV per atom
energy relative to the elements, uncorrected = -79 meV per atom
mass density = 5.62 Mg/m³
D(E_F) = 0.8 states/eV per cell
energy above the most stable polymorph in this dataset = 61 meV per atom
total magnetic moment = 0.00 μB/atom

```
Ag2SbCl
1.0
-4.872 0.488 1.273
-2.953 -0.200 4.103
-2.832 6.660 3.540
Sb Ag Cl
1 2 1
Cartesian
-8.421 5.966 7.161
-10.509 6.813 8.783
-1.850 1.320 1.576
-5.860 3.269 4.769
```



Entry 5:
Entry from the Alexandria database: crystalline In2SnCl at its relaxed geometry (PBE-GGA).

Summary:
E = -2.950 eV per atom
energy relative to the elements, uncorrected = -118 meV per atom
mass density = 4.17 Mg/m³
D(E_F) = 5.6 states/eV per cell
energy above the most stable polymorph in this dataset = 171 meV per atom
total magnetic moment = 0.00 μB/atom

```
In2SnCl
1.0
-2.792 -4.885 -3.054
4.751 -0.033 -4.290
4.771 -7.275 0.564
Cl Sn In
2 2 4
Cartesian
0.980 -2.459 -3.672
5.251 -4.883 -3.699
0.000 0.000 0.000
1.479 -7.309 -3.081
0.028 -4.899 -2.319
3.827 -2.426 -2.908
4.290 -7.300 -2.311
5.316 -9.759 -6.024
```



Entry 6:
Entry from the Alexandria database: crystalline CdHAuCl at its relaxed geometry (PBE-GGA).

Summary:
E = -2.539 eV per atom
mass density = 6.59 Mg/m³
D(E_F) = 0.6 states/eV per cell
energy above the most stable polymorph in this dataset = 0 meV per atom
total magnetic moment = 0.00 μB/atom

```
CdHAuCl
1.0
-3.276 -1.422 1.297
2.021 -2.323 2.560
0.525 5.851 2.205
Cd H Au Cl
1 1 1 1
Cartesian
-0.789 2.542 3.773
1.757 2.767 4.875
1.900 1.525 3.892
-1.094 -1.834 3.824
```



Entry 7:
Entry from the Alexandria database: crystalline CuW2Au at its relaxed geometry (PBE-GGA).

Summary:
E = -7.998 eV per atom
mass density = 16.61 Mg/m³
calculated formation energy = 31 kJ per mole of atoms
D(E_F) = 2.3 states/eV per cell
energy above the most stable polymorph in this dataset = 95 meV per atom
total magnetic moment = 0.00 μB/atom

```
CuW2Au
1.0
-2.228 -1.070 -1.101
2.169 -1.228 -3.196
1.080 -4.965 2.641
Au Cu W
1 1 2
Cartesian
0.557 -2.559 1.361
0.783 -4.880 -0.164
1.076 -4.945 2.630
0.227 -2.327 -1.522
```



Entry 8:
Entry from the Alexandria database: crystalline NaEuBr at its relaxed geometry (PBE-GGA).

Summary:
E = -5.325 eV per atom
energy relative to the elements, uncorrected = -903 meV per atom
mass density = 3.98 Mg/m³
D(E_F) = 1.9 states/eV per cell
total magnetic moment = 2.51 μB/atom

```
NaEuBr
1.0
4.056 0.000 0.000
-2.028 3.513 0.000
0.000 0.000 7.461
Eu Na Br
1 1 1
Cartesian
0.000 2.342 4.628
0.000 0.000 0.326
2.028 1.171 2.508
```



Entry 9:
Entry from the Alexandria database: crystalline SrAl4 at its relaxed geometry (PBE-GGA).

Summary:
E = -3.559 eV per atom
mass density = 2.90 Mg/m³
calculated formation energy = -22 kJ per mole of atoms
D(E_F) = 1.4 states/eV per cell
total magnetic moment = 0.00 μB/atom

```
SrAl4
1.0
-3.607 -2.588 -4.680
0.549 -6.219 -1.621
-0.685 3.655 5.270
Al Sr
4 1
Cartesian
-2.910 -1.668 -1.280
-0.832 -3.484 0.249
-1.173 -3.378 -2.417
-1.885 -5.428 -3.884
0.000 0.000 0.000
```



Entry 10:
Entry from the Alexandria database: crystalline Sm3PdO6 at its relaxed geometry (PBE-GGA).

Summary:
E = -7.505 eV per atom
energy relative to the elements, uncorrected = -2595 meV per atom
mass density = 7.39 Mg/m³
D(E_F) = 2.5 states/eV per cell
energy above the most stable polymorph in this dataset = 27 meV per atom
total magnetic moment = 0.10 μB/atom

```
Sm3PdO6
1.0
5.621 0.000 0.000
0.000 7.301 0.086
0.000 -1.545 7.136
Sm Pd O
6 2 12
Cartesian
2.643 5.597 4.916
5.454 3.543 6.553
2.341 1.961 4.342
5.151 3.794 2.881
5.454 0.158 2.306
2.643 2.213 0.669
5.461 -0.345 6.180
2.650 6.101 1.043
1.101 3.912 4.655
3.912 3.665 4.852
0.945 1.527 6.418
3.756 5.915 2.921
1.514 -1.370 6.996
3.708 0.414 5.575
0.897 5.342 1.647
4.324 7.126 0.226
0.945 -0.160 4.301
3.756 4.228 0.804
1.101 2.091 2.370
3.912 1.844 2.567
```



Entry 11:
Entry from the Alexandria database: crystalline KBa2Zr at its relaxed geometry (PBE-GGA).

Summary:
E = -2.756 eV per atom
mass density = 3.61 Mg/m³
calculated formation energy = 60 kJ per mole of atoms
D(E_F) = 5.0 states/eV per cell
energy above the most stable polymorph in this dataset = 161 meV per atom
total magnetic moment = 0.15 μB/atom

```
KBa2Zr
1.0
-2.377 -2.076 2.122
-1.490 -1.518 -3.153
8.688 -9.481 0.458
Ba K Zr
2 1 1
Cartesian
8.334 -9.095 0.439
0.104 -4.020 -0.408
4.669 -5.094 0.246
4.746 -9.086 -0.163
```



Entry 12:
Entry from the Alexandria database: crystalline Ta2NiW at its relaxed geometry (PBE-GGA).

Summary:
E = -10.473 eV per atom
mass density = 15.76 Mg/m³
calculated formation energy = 13 kJ per mole of atoms
D(E_F) = 4.5 states/eV per cell
total magnetic moment = 0.00 μB/atom

```
Ta2NiW
1.0
-1.779 -2.034 -3.577
-1.965 -4.005 0.445
-4.451 -0.368 -0.386
Ni Ta W
1 2 1
Cartesian
-4.097 -3.203 -1.759
0.000 0.000 0.000
-2.049 -1.602 -0.880
-6.146 -4.805 -2.639
```



Entry 13:
Entry from the Alexandria database: crystalline PmTaO at its relaxed geometry (PBE-GGA).

Summary:
E = -8.521 eV per atom
energy relative to the elements, uncorrected = -1334 meV per atom
mass density = 9.32 Mg/m³
D(E_F) = 4.9 states/eV per cell
total magnetic moment = 0.00 μB/atom

```
PmTaO
1.0
3.313 0.000 0.000
0.000 3.313 0.000
0.000 0.000 11.101
Ta O Pm
2 2 2
Cartesian
0.000 1.657 6.253
1.657 0.000 4.848
0.000 1.657 0.964
1.657 0.000 10.136
1.657 0.000 1.498
0.000 1.657 9.602
```



Entry 14:
Entry from the Alexandria database: crystalline Pm3ZnCu8 at its relaxed geometry (PBE-GGA).

Summary:
E = -4.163 eV per atom
mass density = 8.29 Mg/m³
calculated formation energy = -13 kJ per mole of atoms
D(E_F) = 9.6 states/eV per cell
total magnetic moment = 0.00 μB/atom

```
Pm3ZnCu8
1.0
-2.719 -4.150 -1.636
0.914 -2.023 -4.730
5.298 -7.247 1.237
Pm Zn Cu
3 1 8
Cartesian
3.875 -8.582 -1.352
-1.651 -6.309 -6.278
1.633 -6.610 -2.629
0.519 -8.217 -5.042
-1.161 -6.178 -3.354
3.260 -8.668 -4.320
0.231 -4.053 -2.516
1.912 -10.725 -5.131
1.955 -4.306 -0.666
3.740 -11.050 -3.209
0.699 -5.088 -4.938
1.459 -9.722 -2.787
```



Entry 15:
Entry from the Alexandria database: crystalline LaNd2I8 at its relaxed geometry (PBE-GGA).

Summary:
E = -3.705 eV per atom
energy relative to the elements, uncorrected = -1263 meV per atom
mass density = 3.65 Mg/m³
D(E_F) = 0.9 states/eV per cell
total magnetic moment = 0.11 μB/atom

```
LaNd2I8
1.0
-5.511 -2.175 -4.333
-5.119 -3.005 7.643
-5.491 7.431 2.878
La Nd I
1 2 8
Cartesian
0.000 0.000 0.000
-12.194 2.183 5.733
-3.926 0.068 0.456
-7.577 5.104 3.652
-8.761 3.275 -0.261
-9.949 3.125 7.619
-6.172 -0.873 -1.431
-7.359 -1.024 6.450
-8.543 -2.853 2.537
-10.899 1.135 3.336
-5.222 1.117 2.853
```



Entry 16:
Entry from the Alexandria database: crystalline Tl2CdIn6Hg2 at its relaxed geometry (PBE-GGA).

Summary:
E = -2.036 eV per atom
mass density = 8.77 Mg/m³
calculated formation energy = 2 kJ per mole of atoms
D(E_F) = 3.2 states/eV per cell
total magnetic moment = 0.00 μB/atom

```
Tl2CdIn6Hg2
1.0
-5.290 -3.442 -1.128
0.745 -9.453 2.007
-4.784 8.544 2.615
Tl Cd In Hg
2 1 6 2
Cartesian
-7.782 0.916 1.994
-1.547 -5.268 1.500
-5.037 2.551 0.743
-1.924 0.849 0.533
-5.181 5.417 1.667
-3.095 -2.479 1.076
-4.148 -9.768 1.827
-6.234 -1.873 2.418
-7.406 -5.201 2.961
-3.956 0.577 2.905
-5.374 -4.929 0.589
```



Entry 17:
Entry from the Alexandria database: crystalline KReSb2 at its relaxed geometry (PBE-GGA).

Summary:
E = -4.811 eV per atom
energy relative to the elements, uncorrected = 636 meV per atom
mass density = 6.95 Mg/m³
D(E_F) = 4.0 states/eV per cell
energy above the most stable polymorph in this dataset = 579 meV per atom
total magnetic moment = 0.09 μB/atom

```
KReSb2
1.0
5.665 -0.012 0.012
0.643 5.628 -0.012
-2.242 -3.832 3.519
K Re Sb
1 1 2
Cartesian
3.288 -0.518 1.765
0.777 2.302 1.753
0.378 0.336 0.000
2.776 2.472 0.000
```



Entry 18:
Entry from the Alexandria database: crystalline Dy5Fe2I2 at its relaxed geometry (PBE-GGA).

Summary:
E = -5.147 eV per atom
energy relative to the elements, uncorrected = -365 meV per atom
mass density = 8.02 Mg/m³
D(E_F) = 15.5 states/eV per cell
total magnetic moment = 0.15 μB/atom

```
Dy5Fe2I2
1.0
7.162 0.000 2.600
0.000 7.610 0.000
0.710 0.000 9.210
Dy Fe I
10 4 4
Cartesian
0.000 0.000 0.000
3.581 3.805 1.300
3.727 1.242 8.410
6.071 6.368 9.261
2.489 5.047 7.961
7.308 2.563 9.710
4.145 6.368 3.399
1.802 1.242 2.549
5.383 2.563 3.849
0.564 5.047 2.100
0.855 2.908 0.311
6.307 4.702 2.289
2.726 6.713 0.989
4.437 0.897 1.610
1.954 0.000 5.783
5.535 3.805 7.083
5.919 0.000 6.026
2.337 3.805 4.727
```



Entry 19:
Entry from the Alexandria database: crystalline LiAl8Rh2 at its relaxed geometry (PBE-GGA).

Summary:
E = -4.645 eV per atom
mass density = 4.04 Mg/m³
calculated formation energy = -40 kJ per mole of atoms
D(E_F) = 2.4 states/eV per cell
energy above the most stable polymorph in this dataset = 25 meV per atom
total magnetic moment = 0.00 μB/atom

```
LiAl8Rh2
1.0
-5.043 -0.363 0.705
0.717 -6.526 -2.221
1.429 -6.008 3.147
Li Al Rh
1 8 2
Cartesian
0.000 0.000 0.000
-0.561 -7.454 2.164
-1.982 -5.185 2.134
0.882 -9.736 0.823
-3.779 -3.160 0.807
-0.915 -7.711 -0.503
-2.336 -5.443 -0.534
-3.105 -7.531 1.140
0.208 -5.366 0.491
-1.677 -9.572 1.147
-1.220 -3.325 0.483
```



Entry 20:
Entry from the Alexandria database: crystalline SrBe4Pb3O12 at its relaxed geometry (PBE-GGA).

Summary:
E = -5.941 eV per atom
energy relative to the elements, uncorrected = -1581 meV per atom
mass density = 5.88 Mg/m³
D(E_F) = 11.6 states/eV per cell
total magnetic moment = 0.10 μB/atom

```
SrBe4Pb3O12
1.0
6.673 -0.011 -0.015
-1.618 6.474 -0.015
-1.618 -2.069 6.134
Sr Be Pb O
1 4 3 12
Cartesian
0.000 0.000 0.000
5.387 -0.672 3.052
-1.950 1.286 5.773
1.718 5.977 0.331
1.718 2.197 3.052
2.941 2.908 -0.015
2.114 -1.143 3.367
-1.618 2.629 2.753
1.718 0.945 3.953
5.112 3.039 0.535
-1.676 4.851 3.052
1.718 -1.300 5.569
0.510 5.847 1.270
-0.755 0.338 5.948
5.552 0.600 2.209
2.926 5.045 0.156
-2.116 2.490 4.834
4.192 -1.139 3.896
2.933 2.499 2.151
0.503 3.147 3.052
```